Record 1
CrCuHg2 after structural relaxation, computed with PBE.

As for the density of states at the Fermi level: 3.27 states/eV/f.u. As for the offset from the most stable computed form: 0.1064 eV per atom. Its raw total energy is -0.2307 Ry per atom. The value obtained for the formation energy is 42.62 kJ per mole of atoms. The calculation puts the total moment at 1.016 μB/atom.

abc: 8.742 8.742 8.742
angles: 21.14 21.14 21.14
Element x y z (fractional)
Cr (0.000, 0.000, 0.000)
Cu (0.500, 0.500, 0.500)
Hg (0.247, 0.247, 0.247)
Hg (0.753, 0.753, 0.753)



Record 2
ZrAgSn after structural relaxation, computed with PBE.

As for the density of states at the Fermi level: 2.12 states/eV/f.u. Its raw total energy is -0.3868 Ry per atom. The value obtained for the formation energy is -12.38 kJ per mole of atoms. The calculation puts the total moment at 0.000 μB/atom.

abc: 6.591 6.591 6.591
angles: 151.68 151.68 40.48
Element x y z (fractional)
Zr (0.000, 0.000, 0.000)
Ag (0.340, 0.340, 0.000)
Sn (0.675, 0.675, 0.000)



Record 3
PaCoS4 after structural relaxation, computed with PBE.

As for the density of states at the Fermi level: 1.49 states/eV/f.u. Its raw total energy is -0.4685 Ry per atom. The calculation puts the total moment at 0.000 μB/atom. The raw formation energy is -0.8557 eV per atom.

abc: 6.252 6.110 6.059
angles: 90.00 98.84 90.00
Element x y z (fractional)
Pa (0.000, 0.000, 0.000)
Pa (0.000, 0.500, 0.500)
Co (0.500, 0.000, 0.500)
Co (0.500, 0.500, 0.000)
S (0.196, 0.159, 0.392)
S (0.196, 0.341, 0.892)
S (0.330, 0.713, 0.262)
S (0.330, 0.787, 0.762)
S (0.670, 0.213, 0.238)
S (0.670, 0.287, 0.738)
S (0.804, 0.659, 0.108)
S (0.804, 0.841, 0.608)



Record 4
Tb4Cd5Hg after structural relaxation, computed with PBE.

As for the density of states at the Fermi level: 6.90 states/eV/f.u. Its raw total energy is -0.1961 Ry per atom. The value obtained for the formation energy is -31.60 kJ per mole of atoms. The calculation puts the total moment at 0.000 μB/atom.

abc: 8.275 8.275 6.553
angles: 105.35 105.35 36.16
Element x y z (fractional)
Tb (0.096, 0.096, 0.387)
Tb (0.310, 0.310, 0.190)
Tb (0.690, 0.690, 0.810)
Tb (0.904, 0.904, 0.613)
Cd (0.100, 0.100, 0.915)
Cd (0.297, 0.297, 0.690)
Cd (0.500, 0.500, 0.000)
Cd (0.703, 0.703, 0.310)
Cd (0.900, 0.900, 0.085)
Hg (0.500, 0.500, 0.500)



Record 5
Te2RuCl after structural relaxation, computed with PBE.

As for the density of states at the Fermi level: 2.16 states/eV/f.u. As for the offset from the most stable computed form: 0.3456 eV per atom. Its raw total energy is -0.3095 Ry per atom. The calculation puts the total moment at 0.000 μB/atom. The raw formation energy is 0.1410 eV per atom.

abc: 3.590 3.774 8.364
angles: 90.00 90.00 90.00
Element x y z (fractional)
Te (0.000, 0.000, 0.000)
Te (0.500, 0.500, 0.349)
Ru (0.500, 0.500, 0.044)
Cl (0.000, 0.000, 0.703)



Record 6
Ti5Bi2As after structural relaxation, computed with PBE.

As for the density of states at the Fermi level: 8.69 states/eV/f.u. Its raw total energy is -0.4706 Ry per atom. The value obtained for the formation energy is 7.95 kJ per mole of atoms. The calculation puts the total moment at 0.067 μB/atom.

abc: 7.121 7.121 11.572
angles: 90.00 90.00 140.37
Element x y z (fractional)
Ti (0.113, 0.887, 0.637)
Ti (0.113, 0.887, 0.863)
Ti (0.295, 0.705, 0.250)
Ti (0.300, 0.700, 0.527)
Ti (0.300, 0.700, 0.973)
Ti (0.700, 0.300, 0.027)
Ti (0.700, 0.300, 0.473)
Ti (0.705, 0.295, 0.750)
Ti (0.887, 0.113, 0.137)
Ti (0.887, 0.113, 0.363)
Bi (0.102, 0.898, 0.109)
Bi (0.102, 0.898, 0.391)
Bi (0.898, 0.102, 0.609)
Bi (0.898, 0.102, 0.891)
As (0.279, 0.721, 0.750)
As (0.721, 0.279, 0.250)



Record 7
La2VSe after structural relaxation, computed with PBE.

As for the density of states at the Fermi level: 4.69 states/eV/f.u. Its raw total energy is -0.4246 Ry per atom. The calculation puts the total moment at 0.800 μB/atom. The raw formation energy is -0.1621 eV per atom.

abc: 6.667 6.667 6.667
angles: 104.63 104.63 119.65
Element x y z (fractional)
La (0.121, 0.625, 0.996)
La (0.375, 0.371, 0.496)
La (0.629, 0.125, 0.004)
La (0.875, 0.879, 0.504)
V (0.250, 0.750, 0.500)
V (0.500, 0.500, 0.000)
Se (0.000, 0.000, 0.000)
Se (0.750, 0.250, 0.500)



Record 8
TlSiAs after structural relaxation, computed with PBE.

As for the density of states at the Fermi level: 1.05 states/eV/f.u. As for the offset from the most stable computed form: 0.0000 eV per atom. Its raw total energy is -0.2988 Ry per atom. The calculation puts the total moment at 0.000 μB/atom. The raw formation energy is 0.0802 eV per atom.

abc: 3.747 3.747 5.996
angles: 90.00 90.00 120.00
Element x y z (fractional)
Tl (0.000, 0.000, 0.000)
Si (0.333, 0.667, 0.615)
As (0.667, 0.333, 0.420)